Record 1
{
  "formula": "Sr3Ag2Ge2Au4",
  "functional": "GGA-PBE",
  "state": "relaxed",
  "lattice_angstrom": [[-4.651, 0.682, 0.035], [-0.424, -3.071, 3.534], [3.959, 10.463, 6.441]],
  "species": ["Sr", "Sr", "Sr", "Ag", "Ag", "Ge", "Ge", "Au", "Au", "Au", "Au"],
  "frac_coords": [[0.000, 0.000, 0.000], [0.194, 0.194, 0.389], [0.806, 0.806, 0.611], [0.330, 0.330, 0.659], [0.670, 0.670, 0.341], [0.449, 0.449, 0.897], [0.551, 0.551, 0.103], [0.401, 0.901, 0.802], [0.901, 0.401, 0.802], [0.099, 0.599, 0.198], [0.599, 0.099, 0.198]],
  "vol_a3_per_cell": 276,
  "e_tot_ry_per_atom": -0.2518,
  "formation_energy_mev_per_atom": -416.9
}

Record 2
{
  "formula": "LiDy4Ru3",
  "functional": "GGA-PBE",
  "state": "relaxed",
  "lattice_angstrom": [[-4.781, -0.608, 0.357], [-0.466, 0.891, -4.727], [3.385, -6.925, 0.835]],
  "species": ["Ru", "Ru", "Ru", "Dy", "Dy", "Dy", "Dy", "Li"],
  "frac_coords": [[0.000, 0.500, 0.000], [0.748, 0.248, 0.496], [0.252, 0.752, 0.504], [0.370, 0.370, 0.740], [0.630, 0.630, 0.260], [0.130, 0.130, 0.260], [0.870, 0.870, 0.740], [0.500, 0.000, 0.000]],
  "vol_a3_per_cell": 163,
  "e_tot_ry_per_atom": -0.4662,
  "formation_energy_mev_per_atom": -324.3
}

Record 3
{
  "formula": "Cu5Hg4",
  "functional": "GGA-PBE",
  "state": "relaxed",
  "lattice_angstrom": [[7.917, 0.000, 0.000], [3.958, 6.856, 0.000], [0.000, 0.000, 5.534]],
  "species": ["Hg", "Hg", "Hg", "Hg", "Hg", "Hg", "Hg", "Hg", "Cu", "Cu", "Cu", "Cu", "Cu", "Cu", "Cu", "Cu", "Cu", "Cu"],
  "frac_coords": [[0.000, 0.000, 0.000], [0.000, 0.000, 0.500], [0.629, 0.371, 0.250], [0.000, 0.629, 0.250], [0.371, 0.000, 0.250], [0.371, 0.629, 0.750], [0.000, 0.371, 0.750], [0.629, 0.000, 0.750], [0.304, 0.696, 0.250], [0.000, 0.304, 0.250], [0.696, 0.000, 0.250], [0.696, 0.304, 0.750], [0.000, 0.696, 0.750], [0.304, 0.000, 0.750], [0.333, 0.333, 0.000], [0.667, 0.667, 0.500], [0.667, 0.667, 0.000], [0.333, 0.333, 0.500]],
  "vol_a3_per_cell": 300,
  "e_tot_ry_per_atom": -0.1609,
  "e_above_lowest_polymorph_kj_per_mol_atoms": 3.18,
  "formation_energy_mev_per_atom": 220.3
}

Record 4
{
  "formula": "Cs2SrCdI6",
  "functional": "GGA-PBE",
  "state": "relaxed",
  "lattice_angstrom": [[8.834, 0.000, 0.000], [0.000, 8.834, 0.000], [4.417, 4.417, 6.247]],
  "species": ["Cs", "Cs", "I", "I", "I", "I", "I", "I", "Sr", "Cd"],
  "frac_coords": [[0.750, 0.250, 0.500], [0.250, 0.750, 0.500], [0.241, 0.241, 0.518], [0.759, 0.759, 0.482], [0.241, 0.241, 0.000], [0.759, 0.759, 0.000], [0.759, 0.241, 0.000], [0.241, 0.759, 0.000], [0.500, 0.500, 0.000], [0.000, 0.000, 0.000]],
  "raw_formation_energy_ev_per_atom": -1.277,
  "vol_a3_per_cell": 487,
  "e_tot_ry_per_atom": -0.1938,
  "e_above_lowest_polymorph_kj_per_mol_atoms": 2.75
}

Record 5
{
  "formula": "PrGa4Ni2Os",
  "functional": "GGA-PBE",
  "state": "relaxed",
  "lattice_angstrom": [[4.147, 0.000, 0.000], [2.074, 3.592, 0.000], [2.074, 1.197, 9.046]],
  "species": ["Pr", "Ga", "Ga", "Ga", "Ga", "Ni", "Ni", "Os"],
  "frac_coords": [[0.000, 0.000, 0.000], [0.404, 0.404, 0.787], [0.869, 0.869, 0.393], [0.131, 0.131, 0.607], [0.596, 0.596, 0.213], [0.770, 0.770, 0.689], [0.230, 0.230, 0.311], [0.500, 0.500, 0.500]],
  "vol_a3_per_cell": 135,
  "e_tot_ry_per_atom": -0.3903,
  "formation_energy_mev_per_atom": -350.7
}

Record 6
{
  "formula": "GdThPd4",
  "functional": "GGA-PBE",
  "state": "relaxed",
  "lattice_angstrom": [[5.503, 0.000, 0.000], [2.751, 4.765, 0.000], [2.751, 1.588, 4.493]],
  "species": ["Gd", "Pd", "Pd", "Pd", "Pd", "Th"],
  "frac_coords": [[0.250, 0.250, 0.250], [0.625, 0.625, 0.126], [0.625, 0.126, 0.625], [0.625, 0.625, 0.625], [0.126, 0.625, 0.625], [0.000, 0.000, 0.000]],
  "vol_a3_per_cell": 118,
  "e_tot_ry_per_atom": -0.5727,
  "formation_energy_mev_per_atom": -747.2
}

Record 7
{
  "formula": "DyGa3Pt",
  "functional": "GGA-PBE",
  "state": "relaxed",
  "lattice_angstrom": [[3.973, 0.000, 1.378], [-0.473, 3.943, 1.381], [0.098, 0.105, 6.181]],
  "species": ["Dy", "Ga", "Ga", "Ga", "Pt"],
  "frac_coords": [[0.389, 0.193, 0.930], [0.649, 0.953, 0.406], [0.150, 0.452, 0.406], [0.799, 0.602, 0.110], [0.021, 0.825, 0.660]],
  "vol_a3_per_cell": 96,
  "e_tot_ry_per_atom": -0.3446,
  "e_above_lowest_polymorph_kj_per_mol_atoms": 0.00,
  "formation_energy_mev_per_atom": -743.6
}

Record 8
{
  "formula": "TbTh2Co",
  "functional": "GGA-PBE",
  "state": "relaxed",
  "lattice_angstrom": [[-3.668, 0.525, 0.941], [-2.608, -2.635, -0.930], [-0.681, -4.859, 7.823]],
  "species": ["Tb", "Th", "Th", "Co"],
  "frac_coords": [[0.499, 0.499, 0.503], [0.060, 0.060, 0.819], [0.274, 0.274, 0.177], [0.666, 0.666, 0.001]],
  "vol_a3_per_cell": 113,
  "e_tot_ry_per_atom": -0.4940,
  "e_above_lowest_polymorph_kj_per_mol_atoms": 9.94,
  "formation_energy_mev_per_atom": -77.8
}

Record 9
{
  "formula": "ZrZnCoIr",
  "functional": "GGA-PBE",
  "state": "relaxed",
  "lattice_angstrom": [[-0.695, 2.866, -3.273], [-4.102, 1.278, -0.976], [-1.303, 4.109, 0.910]],
  "species": ["Zn", "Ir", "Co", "Zr"],
  "frac_coords": [[0.000, 0.000, 0.000], [0.250, 0.250, 0.250], [0.750, 0.750, 0.750], [0.500, 0.500, 0.500]],
  "vol_a3_per_cell": 60,
  "e_tot_ry_per_atom": -0.5071,
  "formation_energy_mev_per_atom": -451.6
}

Record 10
{
  "formula": "PaGaCo",
  "functional": "GGA-PBE",
  "state": "relaxed",
  "lattice_angstrom": [[-2.313, 1.066, 3.447], [-1.392, -4.284, 3.056], [3.023, 1.917, 4.100]],
  "species": ["Pa", "Pa", "Ga", "Ga", "Co", "Co"],
  "frac_coords": [[0.723, 0.277, 0.277], [0.277, 0.723, 0.723], [0.500, 0.835, 0.165], [0.500, 0.165, 0.835], [0.000, 0.326, 0.674], [0.000, 0.674, 0.326]],
  "vol_a3_per_cell": 106,
  "e_tot_ry_per_atom": -0.5079,
  "formation_energy_mev_per_atom": -367.0
}

Record 11
{
  "formula": "BaPrCd2Sn2",
  "functional": "GGA-PBE",
  "state": "relaxed",
  "lattice_angstrom": [[4.967, 0.000, 0.000], [-2.483, 4.302, 0.000], [0.000, 0.000, 8.745]],
  "species": ["Ba", "Pr", "Cd", "Cd", "Sn", "Sn"],
  "frac_coords": [[0.000, 0.000, 0.000], [0.000, 0.000, 0.500], [0.667, 0.333, 0.317], [0.333, 0.667, 0.683], [0.667, 0.333, 0.738], [0.333, 0.667, 0.262]],
  "vol_a3_per_cell": 187,
  "e_tot_ry_per_atom": -0.2421,
  "formation_energy_mev_per_atom": -537.5
}

Record 12
{
  "formula": "GaPd2Au",
  "functional": "GGA-PBE",
  "state": "relaxed",
  "lattice_angstrom": [[-0.832, -3.918, 1.835], [4.995, 0.398, -2.173], [2.113, 1.997, 5.222]],
  "species": ["Ga", "Ga", "Pd", "Pd", "Pd", "Pd", "Au", "Au"],
  "frac_coords": [[0.836, 0.673, 0.750], [0.164, 0.327, 0.250], [0.359, 0.717, 0.982], [0.641, 0.283, 0.018], [0.641, 0.283, 0.482], [0.359, 0.717, 0.518], [0.090, 0.180, 0.750], [0.910, 0.820, 0.250]],
  "vol_a3_per_cell": 132,
  "e_tot_ry_per_atom": -0.3318,
  "formation_energy_mev_per_atom": -341.8
}

Record 13
{
  "formula": "LaDy5Ni2",
  "functional": "GGA-PBE",
  "state": "relaxed",
  "lattice_angstrom": [[3.657, 0.000, 0.000], [-1.829, 6.516, 0.000], [0.000, 0.000, 18.405]],
  "species": ["La", "La", "Dy", "Dy", "Dy", "Dy", "Dy", "Dy", "Dy", "Dy", "Dy", "Dy", "Ni", "Ni", "Ni", "Ni"],
  "frac_coords": [[0.673, 0.346, 0.750], [0.327, 0.654, 0.250], [0.936, 0.873, 0.908], [0.936, 0.873, 0.592], [0.331, 0.662, 0.445], [0.331, 0.662, 0.055], [0.596, 0.192, 0.250], [0.404, 0.808, 0.750], [0.669, 0.338, 0.555], [0.669, 0.338, 0.945], [0.064, 0.127, 0.092], [0.064, 0.127, 0.408], [0.719, 0.438, 0.367], [0.719, 0.438, 0.133], [0.281, 0.562, 0.633], [0.281, 0.562, 0.867]],
  "vol_a3_per_cell": 439,
  "e_tot_ry_per_atom": -0.3737,
  "formation_energy_mev_per_atom": -146.2
}

Record 14
{
  "formula": "Ac2La3Ho4",
  "functional": "GGA-PBE",
  "state": "relaxed",
  "lattice_angstrom": [[3.713, 0.000, 0.000], [-1.857, 3.216, 0.000], [0.000, 0.000, 27.466]],
  "species": ["Ac", "Ac", "La", "La", "La", "Ho", "Ho", "Ho", "Ho"],
  "frac_coords": [[0.667, 0.333, 0.098], [0.667, 0.333, 0.862], [0.000, 0.000, 0.983], [0.000, 0.000, 0.330], [0.667, 0.333, 0.646], [0.000, 0.000, 0.539], [0.667, 0.333, 0.440], [0.667, 0.333, 0.226], [0.000, 0.000, 0.753]],
  "vol_a3_per_cell": 328,
  "e_tot_ry_per_atom": -0.3305,
  "e_above_lowest_polymorph_kj_per_mol_atoms": 0.00,
  "formation_energy_mev_per_atom": 93.4
}

Record 15
{
  "formula": "Ac4Cd2Rh",
  "functional": "GGA-PBE",
  "state": "relaxed",
  "lattice_angstrom": [[-2.366, 4.390, -0.264], [-5.948, -0.538, -2.864], [-5.576, 0.221, 6.407]],
  "species": ["Ac", "Ac", "Ac", "Ac", "Cd", "Cd", "Rh"],
  "frac_coords": [[0.078, 0.194, 0.649], [0.922, 0.806, 0.351], [0.330, 0.272, 0.069], [0.670, 0.728, 0.931], [0.369, 0.602, 0.661], [0.631, 0.398, 0.339], [0.000, 0.000, 0.000]],
  "vol_a3_per_cell": 245,
  "e_tot_ry_per_atom": -0.2947,
  "e_above_lowest_polymorph_kj_per_mol_atoms": 0.00,
  "formation_energy_mev_per_atom": -350.6
}

Record 16
{
  "formula": "Pu2SiGe3Pt4",
  "functional": "GGA-PBE",
  "state": "relaxed",
  "lattice_angstrom": [[4.327, 0.000, 0.000], [0.000, 4.327, 0.000], [0.000, 0.000, 10.019]],
  "species": ["Pu", "Pu", "Si", "Ge", "Ge", "Ge", "Pt", "Pt", "Pt", "Pt"],
  "frac_coords": [[0.500, 0.000, 0.256], [0.000, 0.500, 0.744], [0.500, 0.500, 0.500], [0.000, 0.000, 0.500], [0.500, 0.000, 0.865], [0.000, 0.500, 0.135], [0.500, 0.500, 0.000], [0.000, 0.000, 0.000], [0.500, 0.000, 0.619], [0.000, 0.500, 0.381]],
  "raw_formation_energy_ev_per_atom": -0.736,
  "vol_a3_per_cell": 188,
  "e_tot_ry_per_atom": -0.5840
}

Record 17
{
  "formula": "Er2TmCd4",
  "functional": "GGA-PBE",
  "state": "relaxed",
  "lattice_angstrom": [[5.022, 0.000, -1.601], [-0.510, 4.996, -1.601], [-0.281, -0.311, 7.796]],
  "species": ["Cd", "Cd", "Cd", "Cd", "Tm", "Er", "Er"],
  "frac_coords": [[0.385, 0.885, 0.770], [0.885, 0.385, 0.770], [0.615, 0.115, 0.230], [0.115, 0.615, 0.230], [0.000, 0.000, 0.000], [0.743, 0.743, 0.487], [0.257, 0.257, 0.513]],
  "vol_a3_per_cell": 191,
  "e_tot_ry_per_atom": -0.1921,
  "e_above_lowest_polymorph_kj_per_mol_atoms": 0.00,
  "formation_energy_mev_per_atom": -147.6
}

Record 18
{
  "formula": "Zn3CuAu",
  "functional": "GGA-PBE",
  "state": "relaxed",
  "lattice_angstrom": [[0.066, -3.691, 1.406], [2.819, -0.941, -2.603], [6.656, 0.660, 6.970]],
  "species": ["Zn", "Zn", "Zn", "Zn", "Zn", "Zn", "Cu", "Cu", "Au", "Au"],
  "frac_coords": [[0.773, 0.250, 0.102], [0.374, 0.250, 0.901], [0.574, 0.250, 0.500], [0.275, 0.750, 0.099], [0.875, 0.750, 0.898], [0.074, 0.750, 0.500], [0.473, 0.750, 0.703], [0.176, 0.250, 0.297], [0.673, 0.750, 0.303], [0.976, 0.250, 0.697]],
  "vol_a3_per_cell": 148,
  "e_tot_ry_per_atom": -0.1733,
  "e_above_lowest_polymorph_kj_per_mol_atoms": 0.00,
  "formation_energy_mev_per_atom": -119.3
}

Record 19
{
  "formula": "Gd2CoNi3",
  "functional": "GGA-PBE",
  "state": "relaxed",
  "lattice_angstrom": [[-2.305, 1.857, 2.629], [2.716, -2.600, 1.237], [5.228, 5.720, 0.544]],
  "species": ["Gd", "Gd", "Co", "Ni", "Ni", "Ni"],
  "frac_coords": [[0.000, 0.000, 0.003], [0.000, 0.000, 0.497], [0.333, 0.667, 0.250], [0.333, 0.667, 0.750], [0.667, 0.333, 0.250], [0.667, 0.333, 0.750]],
  "vol_a3_per_cell": 105,
  "e_tot_ry_per_atom": -0.6664,
  "formation_energy_mev_per_atom": -297.6
}

Record 20
{
  "formula": "Nd4TeAs2",
  "functional": "GGA-PBE",
  "state": "relaxed",
  "lattice_angstrom": [[4.262, 0.000, 0.000], [-2.131, 7.078, 0.000], [0.000, 0.000, 14.138]],
  "species": ["As", "As", "As", "As", "Te", "Te", "Nd", "Nd", "Nd", "Nd", "Nd", "Nd", "Nd", "Nd"],
  "frac_coords": [[0.135, 0.271, 0.439], [0.865, 0.729, 0.939], [0.135, 0.271, 0.061], [0.865, 0.729, 0.561], [0.607, 0.215, 0.750], [0.393, 0.785, 0.250], [0.766, 0.532, 0.118], [0.766, 0.532, 0.382], [0.234, 0.468, 0.882], [0.234, 0.468, 0.618], [0.942, 0.883, 0.750], [0.058, 0.117, 0.250], [0.500, 0.000, 0.000], [0.500, 0.000, 0.500]],
  "raw_formation_energy_ev_per_atom": -1.251,
  "vol_a3_per_cell": 427,
  "e_tot_ry_per_atom": -0.4228
}

Record 21
{
  "formula": "NdSiTc",
  "functional": "GGA-PBE",
  "state": "relaxed",
  "lattice_angstrom": [[3.313, 0.000, 0.000], [0.000, 3.313, 0.000], [-1.656, -1.656, 5.303]],
  "species": ["Si", "Nd", "Tc"],
  "frac_coords": [[0.292, 0.292, 0.584], [0.000, 0.000, 0.001], [0.708, 0.708, 0.415]],
  "raw_formation_energy_ev_per_atom": -0.326,
  "vol_a3_per_cell": 58,
  "e_tot_ry_per_atom": -0.5276,
  "e_above_lowest_polymorph_kj_per_mol_atoms": 21.59
}

Record 22
{
  "formula": "YFe2C3",
  "functional": "GGA-PBE",
  "state": "relaxed",
  "lattice_angstrom": [[-0.442, -0.841, 4.696], [-5.757, -2.949, -1.070], [4.952, -2.393, 0.038]],
  "species": ["Y", "Y", "Fe", "Fe", "Fe", "Fe", "C", "C", "C", "C", "C", "C"],
  "frac_coords": [[0.750, 0.289, 0.577], [0.250, 0.711, 0.423], [0.500, 0.190, 0.000], [0.500, 0.810, 0.000], [0.000, 0.810, 0.000], [0.000, 0.190, 0.000], [0.250, 0.532, 0.853], [0.750, 0.468, 0.147], [0.750, 0.679, 0.147], [0.250, 0.321, 0.853], [0.250, 0.085, 0.171], [0.750, 0.915, 0.829]],
  "vol_a3_per_cell": 139,
  "e_tot_ry_per_atom": -0.6284,
  "formation_energy_mev_per_atom": -40.0
}

Record 23
{
  "formula": "KRbCa",
  "functional": "GGA-PBE",
  "state": "relaxed",
  "lattice_angstrom": [[7.046, 1.668, 0.677], [4.965, 5.271, 0.677], [5.389, 3.113, 14.136]],
  "species": ["Ca", "Ca", "K", "K", "Rb", "Rb"],
  "frac_coords": [[0.484, 0.484, 0.209], [0.269, 0.269, 0.099], [0.663, 0.663, 0.368], [0.090, 0.090, 0.939], [0.306, 0.306, 0.549], [0.447, 0.447, 0.759]],
  "vol_a3_per_cell": 390,
  "e_tot_ry_per_atom": -0.0880,
  "e_above_lowest_polymorph_kj_per_mol_atoms": 0.00,
  "formation_energy_mev_per_atom": 157.7
}

Record 24
{
  "formula": "CaPd4Pb",
  "functional": "GGA-PBE",
  "state": "relaxed",
  "lattice_angstrom": [[-3.269, -4.314, -0.641], [0.549, -4.342, 3.249], [-3.812, -1.110, 3.734]],
  "species": ["Pb", "Ca", "Pd", "Pd", "Pd", "Pd"],
  "frac_coords": [[0.000, 0.000, 0.000], [0.250, 0.250, 0.250], [0.625, 0.625, 0.124], [0.625, 0.124, 0.625], [0.625, 0.625, 0.625], [0.124, 0.625, 0.625]],
  "vol_a3_per_cell": 115,
  "e_tot_ry_per_atom": -0.3592,
  "e_above_lowest_polymorph_kj_per_mol_atoms": 0.00,
  "formation_energy_mev_per_atom": -473.5
}